1.
First-principles (PBE) data for a geometry-optimized K3HfCr2Se6 structure, as listed in Alexandria via LeMat-Bulk.

Cell and atoms, written as POSCAR:
```
K3HfCr2Se6
1.0
6.7988 0.0003 -0.0005
-3.3975 5.8890 -0.0005
-1.1323 -1.9605 7.5633
Se Cr K Hf
6 2 3 1
direct
0.0623 0.4008 0.1872
0.7237 0.7237 0.1868
0.5992 0.9377 0.8128
0.2763 0.2763 0.8132
0.9377 0.5992 0.8128
0.4008 0.0623 0.1872
0.3332 0.6668 0.0000
0.6668 0.3332 0.0000
0.8341 0.1659 0.5000
0.5000 0.5000 0.5000
0.1659 0.8341 0.5000
0.0000 0.0000 0.0000
```

density: 4.79 Mg/m³
formation energy without anion corrections: -1137.3 kJ/mol of formula units
Fermi-level density of states: 5.4 states/eV per cell
total magnetic moment: 7.01 μB per formula unit

***

2.
First-principles (PBE) data for a geometry-optimized K3Hf3CrSe8 structure, as listed in Alexandria via LeMat-Bulk.

Cell and atoms, written as POSCAR:
```
K3Hf3CrSe8
1.0
-4.3716 -5.8351 -2.4317
1.6925 0.6800 7.4720
-6.1218 5.8832 -3.1121
K Hf Se Cr
3 3 8 1
direct
0.5000 0.5000 0.0000
0.0000 0.5000 0.0000
0.0000 0.0000 0.0000
0.5000 0.5000 0.5000
0.5000 0.0000 0.5000
0.0000 0.5000 0.5000
0.2287 0.9630 0.6917
0.2659 0.0371 0.3085
0.7332 0.4666 0.6999
0.7714 0.5429 0.3086
0.2668 0.5334 0.3001
0.7341 0.9629 0.6915
0.2286 0.4571 0.6914
0.7713 0.0370 0.3083
0.0000 0.0000 0.5000
```

density: 5.50 Mg/m³
formation energy without anion corrections: -1748.3 kJ/mol of formula units
Fermi-level density of states: 7.1 states/eV per cell
total magnetic moment: 3.46 μB per formula unit

***

3.
First-principles (PBE) data for a geometry-optimized K2Hf2CrSe6 structure, as listed in Alexandria via LeMat-Bulk.

Cell and atoms, written as POSCAR:
```
K2Hf2CrSe6
1.0
6.6401 -0.0276 0.0547
-3.3059 5.7587 0.0547
-1.1867 -2.0399 7.8570
Se K Hf Cr
6 2 2 1
direct
0.0698 0.3962 0.6935
0.7369 0.7369 0.6881
0.3962 0.0698 0.6935
0.9302 0.6038 0.3065
0.2631 0.2631 0.3119
0.6038 0.9302 0.3065
0.8334 0.1666 0.0000
0.1666 0.8334 0.0000
0.6693 0.3307 0.5000
0.3307 0.6693 0.5000
0.0000 0.0000 0.5000
```

density: 5.30 Mg/m³
formation energy without anion corrections: -1251.3 kJ/mol of formula units
Fermi-level density of states: 5.8 states/eV per cell
total magnetic moment: 3.56 μB per formula unit

***

4.
First-principles (PBE) data for a geometry-optimized K3HfCr2Te6 structure, as listed in Alexandria via LeMat-Bulk.

Cell and atoms, written as POSCAR:
```
K3HfCr2Te6
1.0
7.2995 -0.0009 -0.0005
-3.6488 6.3221 -0.0005
-1.2183 -2.1095 8.1299
Cr Hf K Te
2 1 3 6
direct
0.3332 0.6668 0.0000
0.6668 0.3332 0.0000
0.0000 0.0000 0.0000
0.1645 0.8355 0.5000
0.5000 0.5000 0.5000
0.8355 0.1645 0.5000
0.9374 0.5970 0.8121
0.7219 0.7219 0.1871
0.5970 0.9374 0.8121
0.4030 0.0626 0.1879
0.2781 0.2781 0.8129
0.0626 0.4030 0.1879
```

density: 5.16 Mg/m³
formation energy without anion corrections: -766.6 kJ/mol of formula units
Fermi-level density of states: 5.0 states/eV per cell
total magnetic moment: 7.01 μB per formula unit

***

5.
First-principles (PBE) data for a geometry-optimized La2HfCr structure, as listed in Alexandria via LeMat-Bulk.

Cell and atoms, written as POSCAR:
```
La2HfCr
1.0
8.4651 0.0000 0.0000
0.0000 8.4651 0.0000
4.2326 4.2326 3.0940
La Hf Cr
4 2 2
direct
0.8750 0.8325 0.7500
0.5825 0.1250 0.2500
0.1675 0.6250 0.2500
0.3750 0.4175 0.7500
0.0000 0.0000 0.0000
0.7500 0.2500 0.5000
0.2500 0.7500 0.5000
0.5000 0.5000 0.0000
```

density: 7.61 Mg/m³
energy relative to the elements: 69.3 kJ per mole of atoms
Fermi-level density of states: 13.3 states/eV per cell
total magnetic moment: 2.78 μB per formula unit

***

6.
First-principles (PBE) data for a geometry-optimized La3HfCr structure, as listed in Alexandria via LeMat-Bulk.

Cell and atoms, written as POSCAR:
```
La3HfCr
1.0
5.7609 0.0000 0.0000
0.0000 5.7609 0.0000
0.0000 0.0000 5.7609
La Hf Cr
3 1 1
direct
0.5000 0.0000 0.0000
0.0000 0.5000 0.0000
0.0000 0.0000 0.5000
0.0000 0.0000 0.0000
0.5000 0.5000 0.5000
```

density: 5.62 Mg/m³
energy relative to the elements: 87.9 kJ per mole of atoms
Fermi-level density of states: 4.9 states/eV per cell
total magnetic moment: 5.16 μB per formula unit

***

7.
First-principles (PBE) data for a geometry-optimized La3HfCr structure, as listed in Alexandria via LeMat-Bulk.

Cell and atoms, written as POSCAR:
```
La3HfCr
1.0
-1.7399 1.6496 4.7474
-0.2054 -5.0430 1.6771
5.0217 0.3653 1.7135
La Hf Cr
3 1 1
direct
0.0000 0.5000 0.0000
0.5000 0.0000 0.0000
0.0000 0.0000 0.5000
0.5000 0.5000 0.5000
0.0000 0.0000 0.0000
```

density: 7.14 Mg/m³
energy relative to the elements: 65.1 kJ per mole of atoms
Fermi-level density of states: 7.3 states/eV per cell
total magnetic moment: 0.44 μB per formula unit

***

8.
First-principles (PBE) data for a geometry-optimized LaHf2Cr2 structure, as listed in Alexandria via LeMat-Bulk.

Cell and atoms, written as POSCAR:
```
LaHf2Cr2
1.0
-2.4892 -4.0278 -6.6179
-0.2867 -6.8985 4.3064
-3.0543 0.6117 0.7765
Hf Cr La
4 4 2
direct
0.3645 0.1355 0.5000
0.8645 0.3645 0.5000
0.1355 0.6355 0.5000
0.6355 0.8645 0.5000
0.3509 0.8509 0.0000
0.8509 0.6491 0.0000
0.1491 0.3509 0.0000
0.6491 0.1491 0.0000
0.0000 0.0000 0.0000
0.5000 0.5000 0.0000
```

density: 9.37 Mg/m³
energy relative to the elements: 35.1 kJ per mole of atoms
Fermi-level density of states: 11.2 states/eV per cell
total magnetic moment: 3.70 μB per formula unit